AsIrRh2 at its PBEsol-relaxed geometry, computed with SCAN.

Output
SG ... I-4m2 (119)
Total DFT energy (no corrections) ... -158.7 eV/cell

Lattice parameters (Å, degrees): 3.924 3.924 4.573 115.41 115.41 90.00
Atoms (fractional coordinates):
As 0.500 0.500 0.000
Ir 0.250 0.750 0.500
Rh 0.000 0.000 0.000
Rh 0.750 0.250 0.500

=====

TeIr3Se at its PBEsol-relaxed geometry, computed with SCAN.

Output
SG ... Pm-3m (221)
Formation energy without anion corrections ... 6.99 eV/f.u.

Lattice parameters (Å, degrees): 4.596 4.596 4.596 90.00 90.00 90.00
Atoms (fractional coordinates):
Ir 0.000 0.500 0.000
Ir 0.000 0.000 0.500
Ir 0.500 0.000 0.000
Te 0.500 0.500 0.500
Se 0.000 0.000 0.000

=====

In3W at its PBEsol-relaxed geometry, computed with SCAN.

Output
Relative energy among the computed polymorphs ... 0.0 kJ/mol of formula units
SG ... C2/m (12)

Lattice parameters (Å, degrees): 2.966 5.177 5.451 96.87 105.79 90.00
Atoms (fractional coordinates):
In 0.500 0.500 0.000
In 0.264 0.764 0.528
In 0.736 0.236 0.472
W 0.000 0.000 0.000

=====

AlSb2P at its PBEsol-relaxed geometry, computed with SCAN.

Output
Relative energy among the computed polymorphs ... 195.0 kJ/mol of formula units
SG ... C2/m (12)
Formation energy without anion corrections ... 1.92 eV/f.u.

Lattice parameters (Å, degrees): 3.089 5.597 5.597 111.78 100.99 100.99
Atoms (fractional coordinates):
Sb 0.000 0.500 0.000
Sb 0.000 0.000 0.500
Al 0.500 0.000 0.000
P 0.500 0.500 0.500